Record 1
Entry from Alexandria: a geometry-optimized Pm8Ho3Tm2 structure (GGA-PBE).

Lattice parameters (Å, degrees): 20.1764 7.7143 5.7066 90.00 90.03 90.00
Last column: nearest neighbours and their distance in Å.
Space group C2/m (No. 12)
Symmetry-distinct sites (fractional):
Pm: 0.1067 0.2056 0.0002 (multiplicity 8)  1 Ho 3.13, 1 Pm 3.17, 1 Tm 3.48
Pm: 0.1315 0.5000 0.4995 (multiplicity 4)  2 Ho 3.45, 2 Tm 3.59-3.60, 4 Pm 3.68
Pm: 0.1729 0.0000 0.5009 (multiplicity 4)  2 Tm 3.35, 4 Pm 3.52-3.53
Ho: 0.0000 0.2138 0.5000 (multiplicity 4)  3 Ho 3.30-3.61, 6 Pm 3.45-3.58
Ho: 0.0000 0.5000 0.0000 (multiplicity 2)  4 Pm 3.13
Tm: 0.2399 0.5000 0.9989 (multiplicity 4)  8 Pm 3.35-3.60

The total magnetization is 0.0 Bohr magnetons per cell. The calculation puts the offset from the most stable computed form at 189 meV/atom. As for the crystal system: monoclinic. As for the formation energy: 260 kJ/mol of formula units. Its uncorrected energy is -4.460 eV per atom.

=====

Record 2
Entry from Alexandria: a geometry-optimized Th4FeBi structure (GGA-PBE).

Lattice parameters (Å, degrees): 6.0805 6.7783 8.8621 90.00 107.01 90.00
Last column: nearest neighbours and their distance in Å.
Space group P2_1/m (No. 11)
Symmetry-distinct sites (fractional):
Th: 0.1184 0.2500 0.0537 (multiplicity 2)  1 Fe 2.64
Th: 0.2274 0.7500 0.3526 (multiplicity 2)  1 Fe 2.78
Th: 0.3388 0.5121 0.7868 (multiplicity 4)  2 Fe 2.70-2.98
Fe: 0.3338 0.7500 0.0684 (multiplicity 2)  4 Th 2.64-2.78
Bi: 0.1980 0.2500 0.4388 (multiplicity 2)  9 Th 3.30-3.66

The total magnetization is 0.0 Bohr magnetons per cell. The calculation puts the offset from the most stable computed form at 0 meV/atom. As for the crystal system: monoclinic. As for the formation energy: -117 kJ/mol of formula units. Its uncorrected energy is -7.206 eV per atom.

=====

Record 3
Entry from Alexandria: a geometry-optimized Pm3N structure (GGA-PBE).

Lattice parameters (Å, degrees): 7.1816 9.6338 6.0429 90.00 90.00 90.00
Last column: nearest neighbours and their distance in Å.
Space group Pnma (No. 62)
Symmetry-distinct sites (fractional):
Pm: 0.0002 0.2500 0.2044 (multiplicity 4)  2 N 2.71
Pm: 0.2490 0.0728 0.7483 (multiplicity 8)  2 N 2.45
N: 0.0000 0.0000 0.0000 (multiplicity 4)  6 Pm 2.45-2.71

The total magnetization is 0.0 Bohr magnetons per cell. The calculation puts the offset from the most stable computed form at 56 meV/atom. As for the crystal system: orthorhombic. Its uncorrected formation energy is -0.59 eV per atom. Its uncorrected energy is -6.232 eV per atom.

=====

Record 4
Entry from Alexandria: a geometry-optimized BaCaPt structure (GGA-PBE).

Lattice parameters (Å, degrees): 3.7616 3.7616 14.1189 90.00 90.00 90.00
Last column: nearest neighbours and their distance in Å.
Space group I4mm (No. 107)
Symmetry-distinct sites (fractional):
Ba: 0.0000 0.0000 0.0000 (multiplicity 2)  4 Pt 3.32, 1 Ca 3.48
Ca: 0.0000 0.0000 0.2466 (multiplicity 2)  4 Pt 3.05
Pt: 0.0000 0.0000 0.6406 (multiplicity 2)  4 Ca 3.05, 4 Ba 3.32

The total magnetization is 0.0 Bohr magnetons per cell. The calculation puts the offset from the most stable computed form at 109 meV/atom. As for the crystal system: tetragonal. As for the formation energy: -165 kJ/mol of formula units. Its uncorrected energy is -3.891 eV per atom.